Record 1
A plane-wave DFT calculation with PBE-GGA was carried out for Na2CdIO6 after structural relaxation.

Structure (extended XYZ):
```
10
Lattice="2.879 1.662 4.643 -2.879 1.662 4.643 0.000 -3.324 4.643" Properties=species:S:1:pos:R:3 pbc="T T T"
Na 0.000 0.000 3.323
Na 0.000 0.000 10.607
Cd 0.000 0.000 6.965
I 0.000 0.000 0.000
O -0.565 -1.882 5.742
O -1.912 -0.452 8.188
O -1.347 1.430 5.742
O 1.347 -1.430 8.188
O 1.912 0.452 5.742
O 0.565 1.882 8.188
```

Properties
raw formation energy	-0.860	eV/atom
magnetization	1.07	μB/cell
ρ	4.750	g/cm³
crystal system	trigonal
symmetry	No. 148

---

Record 2
A plane-wave DFT calculation with PBE-GGA was carried out for Hf6Ge2H after structural relaxation.

Structure (extended XYZ):
```
18
Lattice="5.764 0.000 0.000 0.000 5.764 0.000 0.000 0.000 11.419" Properties=species:S:1:pos:R:3 pbc="T T T"
Hf 1.083 1.083 1.536
Hf 1.083 1.083 9.883
Hf 1.247 1.247 5.709
Hf 1.635 4.129 0.000
Hf 1.799 3.965 4.174
Hf 1.799 3.965 7.245
Hf 3.965 1.799 4.174
Hf 3.965 1.799 7.245
Hf 4.129 1.635 0.000
Hf 4.517 4.517 5.709
Hf 4.681 4.681 1.536
Hf 4.681 4.681 9.883
Ge 0.000 0.000 3.685
Ge 0.000 0.000 7.734
Ge 2.882 2.882 2.025
Ge 2.882 2.882 9.394
H 0.000 0.000 0.000
H 2.882 2.882 5.709
```

Properties
magnetization	0.00	μB/cell
energy	-7.9767	eV per atom
ρ	10.656	g/cm³
crystal system	tetragonal
symmetry	No. 136

---

Record 3
A plane-wave DFT calculation with PBE-GGA was carried out for VS2N after structural relaxation.

Structure (extended XYZ):
```
12
Lattice="3.266 0.000 0.000 -1.633 2.828 0.000 0.000 0.000 17.871" Properties=species:S:1:pos:R:3 pbc="T T T"
V 0.000 0.000 0.000
V 0.000 1.885 11.914
V 1.633 0.943 5.957
S 0.000 0.000 7.365
S 0.000 0.000 10.506
S 0.000 1.885 1.408
S 0.000 1.885 4.549
S 1.633 0.943 13.322
S 1.633 0.943 16.463
N 0.000 0.000 8.936
N 0.000 1.885 2.979
N 1.633 0.943 14.893
```

Properties
raw formation energy	0.078	eV/atom
magnetization	0.00	μB/cell
ρ	3.896	g/cm³
crystal system	trigonal
symmetry	No. 166

---

Record 4
A plane-wave DFT calculation with PBE-GGA was carried out for NaLiAs2Se4 after structural relaxation.

Structure (extended XYZ):
```
8
Lattice="0.000 4.712 5.372 4.355 0.000 5.372 4.355 4.712 0.000" Properties=species:S:1:pos:R:3 pbc="T T T"
Na 0.000 0.000 0.000
Li 4.355 4.712 5.272
As 2.178 2.356 2.645
As 6.533 7.068 8.016
Se 6.392 4.712 3.669
Se 4.355 2.523 6.713
Se 2.318 4.712 3.669
Se 4.355 6.901 6.713
```

Properties
raw formation energy	-0.431	eV/atom
magnetization	0.00	μB/cell
ρ	3.733	g/cm³
crystal system	orthorhombic
symmetry	No. 42

---

Record 5
A plane-wave DFT calculation with PBE-GGA was carried out for Na6MnCl8 after structural relaxation.

Structure (extended XYZ):
```
15
Lattice="0.000 5.659 5.659 5.659 0.000 5.659 5.659 5.659 0.000" Properties=species:S:1:pos:R:3 pbc="T T T"
Na 2.830 2.830 0.000
Na 2.830 0.000 2.830
Na 5.659 2.830 2.830
Na 0.000 2.830 2.830
Na 2.830 5.659 2.830
Na 2.830 2.830 5.659
Mn 0.000 0.000 0.000
Cl 5.659 5.659 2.570
Cl 5.659 2.570 5.659
Cl 8.749 5.659 5.659
Cl 2.830 2.830 2.830
Cl 8.489 8.489 8.489
Cl 2.570 5.659 5.659
Cl 5.659 8.749 5.659
Cl 5.659 5.659 8.749
```

Properties
raw formation energy	-1.670	eV/atom
magnetization	5.00	μB/cell
ρ	2.183	g/cm³
crystal system	cubic
symmetry	No. 225

---

Record 6
A plane-wave DFT calculation with PBE-GGA was carried out for Pr7SmY12 after structural relaxation.

Structure (extended XYZ):
```
20
Lattice="6.064 3.501 5.479 -6.064 3.501 5.479 0.000 -7.002 5.479" Properties=species:S:1:pos:R:3 pbc="T T T"
Pr 0.000 0.000 0.000
Pr -1.463 -1.389 4.762
Pr -0.471 1.961 4.762
Pr 1.934 -0.573 4.762
Pr -1.934 0.573 11.676
Pr 0.471 -1.961 11.676
Pr 1.463 1.389 11.676
Sm 0.000 0.000 8.219
Y -2.185 -4.904 6.851
Y -5.340 -0.560 9.586
Y -3.199 0.938 7.326
Y -2.412 -2.301 9.112
Y 0.787 -3.239 7.326
Y -3.155 4.345 6.851
Y 3.155 -4.345 9.586
Y -0.787 3.239 9.112
Y 2.412 2.301 7.326
Y 3.199 -0.938 9.112
Y 5.340 0.560 6.851
Y 2.185 4.904 9.586
```

Properties
formation energy from the elements	0.227	eV per atom
distance to the lowest polymorph of the same formula	0.0	meV/atom
magnetization	0.00	μB/cell
ρ	5.243	g/cm³
crystal system	trigonal
symmetry	No. 148

---

Record 7
A plane-wave DFT calculation with PBE-GGA was carried out for BaNa2AuO4 after structural relaxation.

Structure (extended XYZ):
```
16
Lattice="6.077 0.000 0.000 0.000 6.077 0.000 0.000 0.000 7.040" Properties=species:S:1:pos:R:3 pbc="T T T"
Ba 0.000 0.000 0.000
Ba 3.039 3.039 3.520
Na 0.000 0.000 3.520
Na 0.000 3.039 5.280
Na 3.039 0.000 1.760
Na 3.039 3.039 0.000
Au 0.000 3.039 1.760
Au 3.039 0.000 5.280
O 1.333 4.531 1.839
O 1.492 1.706 1.681
O 1.546 1.333 5.201
O 1.706 4.585 5.359
O 4.372 1.492 5.359
O 4.531 4.745 5.201
O 4.585 4.372 1.681
O 4.745 1.546 1.839
```

Properties
raw formation energy	-1.270	eV/atom
magnetization	2.14	μB/cell
ρ	5.674	g/cm³
crystal system	tetragonal
symmetry	No. 82

---

Record 8
A plane-wave DFT calculation with PBE-GGA was carried out for La8Tc3GeBr4 after structural relaxation.

Structure (extended XYZ):
```
16
Lattice="4.281 2.472 7.773 -4.281 2.472 7.773 0.000 -4.944 7.773" Properties=species:S:1:pos:R:3 pbc="T T T"
La -2.258 -1.304 13.146
La 0.000 0.000 5.511
La 0.000 -2.608 10.173
La -2.258 1.304 10.173
La 2.258 -1.304 13.146
La 0.000 2.608 13.146
La 0.000 0.000 17.808
La 2.258 1.304 10.173
Tc -4.281 0.000 11.659
Tc -2.141 1.236 3.886
Tc 2.141 1.236 3.886
Ge 0.000 0.000 11.659
Br 0.000 0.000 0.000
Br -2.141 -1.236 7.773
Br -2.141 1.236 15.546
Br 0.000 2.472 7.773
```

Properties
raw formation energy	-0.766	eV/atom
magnetization	0.00	μB/cell
ρ	6.048	g/cm³
crystal system	trigonal
symmetry	No. 166